#A
LiAlPH: optimized geometry, PBE-GGA.

Values from the calculation:
Total magnetization = 0.0 μB/cell
DOS at the Fermi energy = 0.28 states/eV/cell
SG = No. 6

```
4
Lattice="-0.425 1.654 2.896 1.776 -2.434 1.651 4.291 2.330 -1.182" Properties=species:S:1:pos:R:3 pbc="T T T"
Li 2.549 0.190 1.111
Al 3.725 2.370 -0.515
P 0.654 -0.025 2.834
H 2.304 1.545 -0.201
```


#B
LiAlPH: optimized geometry, PBE-GGA.

Values from the calculation:
Total magnetization = 0.0 μB/cell
DOS at the Fermi energy = 1.20 states/eV/cell
SG = No. 8

```
8
Lattice="-0.400 1.843 -2.964 -0.366 -2.771 -1.674 -9.721 0.247 1.715" Properties=species:S:1:pos:R:3 pbc="T T T"
Li -4.071 0.288 0.413
Li -9.115 -0.974 0.433
Al -7.049 1.411 -0.795
Al -2.372 -0.098 -2.490
P -1.346 0.347 -0.280
P -6.389 -0.916 -0.259
H -8.704 1.511 -0.600
H -4.026 0.002 -2.295
```


#C
LiAlPH: optimized geometry, PBE-GGA.

Values from the calculation:
Total magnetization = 0.0 μB/cell
DOS at the Fermi energy = 0.00 states/eV/cell
SG = No. 1

```
4
Lattice="3.880 0.000 0.000 1.939 3.362 0.000 0.007 0.008 5.183" Properties=species:S:1:pos:R:3 pbc="T T T"
Li 3.203 0.764 2.478
Al 1.259 1.876 4.465
P 3.200 0.755 5.156
H 1.259 1.875 2.759
```


#C takes first place; second place is 127 meV per atom up.


#A
LiAlPH: optimized geometry, PBE-GGA.

Values from the calculation:
Total magnetization = 0.0 μB/cell
DOS at the Fermi energy = 0.00 states/eV/cell
SG = No. 1

```
4
Lattice="3.778 0.000 0.000 1.885 3.277 0.000 1.875 1.075 5.003" Properties=species:S:1:pos:R:3 pbc="T T T"
Li 4.313 1.091 3.675
Al 4.311 3.268 1.477
P 4.314 1.085 0.608
H 4.310 3.266 3.144
```


#B
LiAlPH: optimized geometry, PBE-GGA.

Values from the calculation:
Total magnetization = 0.0 μB/cell
DOS at the Fermi energy = 0.79 states/eV/cell
SG = No. 6

```
4
Lattice="4.320 0.000 0.034 0.000 2.816 0.000 -0.307 0.000 4.578" Properties=species:S:1:pos:R:3 pbc="T T T"
Li 1.801 0.000 3.834
Al 3.494 1.408 1.699
P 4.032 1.408 4.031
H 2.314 0.000 1.646
```


#A takes first place; second place is 290 meV per atom up.


#A
LiAlPH: optimized geometry, PBE-GGA.

Values from the calculation:
Total magnetization = 0.0 μB/cell
DOS at the Fermi energy = 0.62 states/eV/cell
SG = No. 1

```
4
Lattice="3.547 0.001 0.013 0.895 3.431 -0.001 0.445 0.375 4.883" Properties=species:S:1:pos:R:3 pbc="T T T"
Li 3.552 2.778 4.453
Al 2.100 1.632 2.244
P 0.456 0.357 0.978
H 4.045 3.132 2.054
```


#B
LiAlPH: optimized geometry, PBE-GGA.

Values from the calculation:
Total magnetization = 0.0 μB/cell
DOS at the Fermi energy = 0.00 states/eV/cell
SG = No. 8

```
8
Lattice="-1.349 -5.012 3.206 3.699 -0.645 0.548 0.315 5.200 3.997" Properties=species:S:1:pos:R:3 pbc="T T T"
Li -0.910 -2.950 2.667
Li 1.098 -0.673 4.940
Al 0.144 4.167 3.935
Al 1.836 1.244 2.211
P -1.109 -2.039 5.089
P 0.583 -4.961 3.365
H -0.210 3.205 5.196
H 1.482 0.282 3.471
```


#B takes first place; second place is 428 meV per atom up.


#A
LiAlPH: optimized geometry, PBE-GGA.

Values from the calculation:
Total magnetization = 0.0 μB/cell
DOS at the Fermi energy = 0.68 states/eV/cell
SG = No. 1

```
4
Lattice="-1.284 1.429 -2.936 -0.929 -3.494 -1.349 -4.056 -0.619 1.440" Properties=species:S:1:pos:R:3 pbc="T T T"
Li -1.157 -1.640 -0.964
Al -3.950 -0.574 -1.411
P -2.968 -2.502 -2.845
H -2.287 -3.095 -1.707
```


#B
LiAlPH: optimized geometry, PBE-GGA.

Values from the calculation:
Total magnetization = 0.0 μB/cell
DOS at the Fermi energy = 0.94 states/eV/cell
SG = No. 6

```
4
Lattice="-0.642 2.848 -2.274 -1.008 -1.741 -1.895 -5.320 -0.174 2.989" Properties=species:S:1:pos:R:3 pbc="T T T"
Li -4.570 1.420 1.126
Al -1.036 -0.498 -1.007
P -3.200 -0.364 0.021
H -3.743 1.407 -1.316
```


#C
LiAlPH: optimized geometry, PBE-GGA.

Values from the calculation:
Total magnetization = 0.0 μB/cell
SG = No. 156

```
4
Lattice="3.766 0.000 0.000 -1.883 3.261 0.000 0.000 0.000 5.003" Properties=species:S:1:pos:R:3 pbc="T T T"
Li 0.000 2.174 1.261
Al 0.000 0.000 3.494
P 1.883 1.087 4.567
H 1.883 1.087 1.054
```


#C takes first place; second place is 114 meV per atom up.


#A
Li2AlHPt: optimized geometry, PBE-GGA.

Values from the calculation:
Total magnetization = 0.0 μB/cell
DOS at the Fermi energy = 1.01 states/eV/cell
SG = No. 123

```
5
Lattice="3.840 0.000 0.000 0.000 3.840 0.000 0.000 0.000 3.910" Properties=species:S:1:pos:R:3 pbc="T T T"
H 0.000 0.000 0.000
Al 1.920 1.920 1.955
Pt 0.000 0.000 1.955
Li 0.000 1.920 0.000
Li 1.920 0.000 0.000
```


#B
Li2AlHPt: optimized geometry, PBE-GGA.

Values from the calculation:
Total magnetization = 0.0 μB/cell
DOS at the Fermi energy = 1.46 states/eV/cell
SG = No. 123

```
5
Lattice="-2.512 -2.002 -1.802 2.471 -2.693 -0.453 -1.240 -1.756 3.680" Properties=species:S:1:pos:R:3 pbc="T T T"
H 0.000 0.000 0.000
Al -0.620 -0.878 1.840
Pt -0.640 -3.226 0.713
Li 1.236 -1.347 -0.226
Li -1.256 -1.001 -0.901
```


#B takes first place; second place is 28 meV per atom up.


#A
LiAl2ZnH: optimized geometry, PBE-GGA.

Values from the calculation:
Total magnetization = 0.0 μB/cell
DOS at the Fermi energy = 1.66 states/eV/cell
SG = No. 123

```
5
Lattice="-1.666 2.496 4.062 -1.590 -2.401 0.823 3.942 -1.699 2.661" Properties=species:S:1:pos:R:3 pbc="T T T"
H -0.795 -1.200 0.411
Zn 0.343 -0.802 3.773
Al 1.971 -0.850 1.330
Al -0.833 1.248 2.031
Li 0.000 0.000 0.000
```


#B
LiAl2ZnH: optimized geometry, PBE-GGA.

Values from the calculation:
Total magnetization = 0.0 μB/cell
DOS at the Fermi energy = 0.85 states/eV/cell
SG = No. 123

```
5
Lattice="-0.118 2.431 3.230 -3.336 1.766 -1.451 -2.240 -2.657 1.918" Properties=species:S:1:pos:R:3 pbc="T T T"
H 0.000 0.000 0.000
Zn -2.848 0.770 1.848
Al -1.668 0.883 -0.726
Al -0.059 1.216 1.615
Li -1.120 -1.328 0.959
```


#B takes first place; second place is 441 meV per atom up.